Compound: MnPSeSN
Source: Alexandria via LeMat-Bulk
Functional: PBE
Structure: optimized geometry

Unit cell a=3.941 b=5.735 c=5.734 alpha=130.38 beta=92.89 gamma=87.12
Fractional coordinates of all 5 atoms:
Mn1 0.030 0.425 0.944
P1 0.303 0.127 0.242
Se1 0.504 0.579 0.790
S1 0.041 0.951 0.418
N1 0.056 0.251 0.118

Output
relative energy among the computed polymorphs = 105.1 meV per atom
Fermi-level density of states = 1.99 states/eV/f.u.
total magnetization = 3.361 μB/f.u.
VASP energy = -6.118 eV per atom
E_form (uncorrected) = -0.07 eV per formula unit